No. 1
Compound: BaLiSnAu
Source: Alexandria
Functional: GGA-PBE
Structure: optimized geometry

Calculated values
* space group: F-43m (216)
* mass density: 7.40 g cm⁻³
* spin magnetization: 0.00 μB/atom
* offset from the most stable computed form: 46 kJ/mol of formula units

Geometry as POSCAR:
```
BaLiSnAu
1.0
0.0000 3.7231 3.7231
3.7231 0.0000 3.7231
3.7231 3.7231 0.0000
Ba Li Sn Au
1 1 1 1
Direct
0.0000 0.0000 0.0000
0.7500 0.7500 0.7500
0.5000 0.5000 0.5000
0.2500 0.2500 0.2500
```

No. 2
Compound: CaFe2As
Source: Alexandria
Functional: GGA-PBE
Structure: optimized geometry

Calculated values
* space group: I4/mmm (139)
* mass density: 5.50 g cm⁻³
* spin magnetization: 1.37 μB/atom
* VASP energy: -0.208 Ha/atom

Geometry as POSCAR:
```
CaFe2As
1.0
-1.9851 1.9851 4.3416
1.9851 -1.9851 4.3416
1.9851 1.9851 -4.3416
Ca Fe As
1 2 1
Direct
0.0000 0.0000 0.0000
0.2500 0.7500 0.5000
0.7500 0.2500 0.5000
0.5000 0.5000 0.0000
```

No. 3
Compound: KFeTc2B
Source: Alexandria
Functional: GGA-PBE
Structure: optimized geometry

Calculated values
* space group: P4/mmm (123)
* mass density: 4.59 g cm⁻³
* spin magnetization: 0.41 μB/atom
* VASP energy: -0.189 Ha/atom

Geometry as POSCAR:
```
KFeTc2B
1.0
4.3991 0.0000 0.0000
0.0000 4.3991 0.0000
0.0000 0.0000 5.6350
K Fe Tc B
1 1 2 1
Direct
0.0000 0.0000 0.0000
0.0000 0.0000 0.5000
0.0000 0.5000 0.5000
0.5000 0.0000 0.5000
0.5000 0.5000 0.0000
```

No. 4
Compound: LiNiN
Source: Alexandria
Functional: GGA-PBE
Structure: optimized geometry

Calculated values
* space group: I4mm (107)
* mass density: 4.44 g cm⁻³
* spin magnetization: 0.00 μB/atom
* formation energy (no corrections): 98 meV per atom

Geometry as POSCAR:
```
LiNiN
1.0
-1.3382 1.3382 4.1563
1.3382 -1.3382 4.1563
1.3382 1.3382 -4.1563
Li Ni N
1 1 1
Direct
0.0000 0.0000 0.0000
0.2775 0.2775 0.0000
0.7218 0.7218 0.0000
```

No. 5
Compound: Pr5NdSe8
Source: Alexandria
Functional: GGA-PBE
Structure: optimized geometry

Calculated values
* space group: I-4 (82)
* mass density: 6.68 g cm⁻³
* spin magnetization: 0.00 μB/atom
* formation energy (no corrections): -1865 meV per atom

Geometry as POSCAR:
```
Pr5NdSe8
1.0
-4.5675 4.5675 4.4104
4.5675 -4.5675 4.4104
4.5675 4.5675 -4.4104
Pr Nd Se
5 1 8
Direct
0.0000 0.0000 0.0000
0.1246 0.2274 0.6018
0.4772 0.8754 0.1028
0.6256 0.5228 0.3982
0.7726 0.3744 0.8972
0.2500 0.7500 0.5000
0.0176 0.6207 0.7434
0.2336 0.4778 0.1061
0.3717 0.1275 0.8939
0.3793 0.1227 0.3968
0.5222 0.6283 0.7558
0.7259 0.9824 0.6032
0.8725 0.7664 0.2442
0.8773 0.2741 0.2566
```

No. 6
Compound: Li2InRu
Source: Alexandria
Functional: GGA-PBE
Structure: optimized geometry

Calculated values
* space group: P4mm (99)
* mass density: 5.86 g cm⁻³
* spin magnetization: 0.00 μB/atom
* VASP energy: -0.143 Ha/atom

Geometry as POSCAR:
```
Li2InRu
1.0
3.2644 0.0000 0.0000
0.0000 3.2644 0.0000
0.0000 0.0000 6.1121
Li In Ru
2 1 1
Direct
0.0000 0.0000 0.0000
0.5000 0.5000 0.2460
0.5000 0.5000 0.7063
0.0000 0.0000 0.4652
```

No. 7
Compound: HoPu2Zr
Source: Alexandria
Functional: GGA-PBE
Structure: optimized geometry

Calculated values
* space group: R-3m (166)
* mass density: 11.72 g cm⁻³
* spin magnetization: 2.89 μB/atom
* offset from the most stable computed form: 6 kJ/mol of formula units

Geometry as POSCAR:
```
HoPu2Zr
1.0
1.6712 0.9649 10.9006
-1.6712 0.9649 10.9006
0.0000 -1.9298 10.9006
Ho Pu Zr
1 2 1
Direct
0.0000 0.0000 0.0000
0.2460 0.2460 0.2460
0.7540 0.7540 0.7540
0.5000 0.5000 0.5000
```

No. 8
Compound: CaSc2Cr
Source: Alexandria
Functional: GGA-PBE
Structure: optimized geometry

Calculated values
* space group: C2/m (12)
* mass density: 3.05 g cm⁻³
* spin magnetization: 0.90 μB/atom
* offset from the most stable computed form: 108 kJ/mol of formula units

Geometry as POSCAR:
```
CaSc2Cr
1.0
3.1456 -5.3662 0.0000
3.1456 5.3662 0.0000
-1.3020 0.0000 2.9301
Ca Sc Cr
1 2 1
Direct
0.0000 0.0000 0.0000
0.0000 0.5000 0.5000
0.5000 0.0000 0.5000
0.5000 0.5000 0.0000
```

No. 9
Compound: CdMo6S8
Source: Alexandria
Functional: GGA-PBE
Structure: optimized geometry

Calculated values
* space group: R-3 (148)
* mass density: 5.59 g cm⁻³
* spin magnetization: 0.00 μB/atom
* formation energy (no corrections): -667 meV per atom

Geometry as POSCAR:
```
CdMo6S8
1.0
4.7245 2.7277 3.6316
-4.7245 2.7277 3.6316
0.0000 -5.4554 3.6316
Cd Mo S
1 6 8
Direct
0.0000 0.0000 0.0000
0.2204 0.5538 0.4106
0.4106 0.2204 0.5538
0.4462 0.5894 0.7796
0.5538 0.4106 0.2204
0.5894 0.7796 0.4462
0.7796 0.4462 0.5894
0.1314 0.3795 0.7291
0.2270 0.2270 0.2270
0.2709 0.8686 0.6205
0.3795 0.7291 0.1314
0.6205 0.2709 0.8686
0.7291 0.1314 0.3795
0.7730 0.7730 0.7730
0.8686 0.6205 0.2709
```

No. 10
Compound: TbCe4Mg
Source: Alexandria
Functional: GGA-PBE
Structure: optimized geometry

Calculated values
* space group: F-43m (216)
* mass density: 7.10 g cm⁻³
* spin magnetization: 0.42 μB/atom
* VASP energy: -0.175 Ha/atom

Geometry as POSCAR:
```
TbCe4Mg
1.0
0.0000 4.4299 4.4299
4.4299 0.0000 4.4299
4.4299 4.4299 0.0000
Tb Ce Mg
1 4 1
Direct
0.0000 0.0000 0.0000
0.3850 0.3850 0.3850
0.3850 0.3850 0.8451
0.3850 0.8451 0.3850
0.8451 0.3850 0.3850
0.7500 0.7500 0.7500
```

No. 11
Compound: SrBeP
Source: Alexandria
Functional: GGA-PBE
Structure: optimized geometry

Calculated values
* space group: F-43m (216)
* mass density: 3.59 g cm⁻³
* spin magnetization: 0.00 μB/atom
* offset from the most stable computed form: 210 kJ/mol of formula units

Geometry as POSCAR:
```
SrBeP
1.0
0.0000 3.0899 3.0899
3.0899 0.0000 3.0899
3.0899 3.0899 0.0000
Sr Be P
1 1 1
Direct
0.0000 0.0000 0.0000
0.7500 0.7500 0.7500
0.5000 0.5000 0.5000
```